# BaLi2Cu (PBE-GGA, optimized geometry)
# **Density of states at the Fermi level**: 3.87 states/eV per cell
# **Volume**: 25.78 Å³/atom
# **E_form**: 161 meV/atom
data_BaLi2Cu
_cell_length_a 4.516
_cell_length_b 4.516
_cell_length_c 10.114
_cell_angle_alpha 90.00
_cell_angle_beta 90.00
_cell_angle_gamma 90.00
_symmetry_space_group_name_H-M 'I 4/m m m'
_symmetry_Int_Tables_number 139
_symmetry_space_group_name_Hall '-I 4 2'
loop_
_atom_site_label
_atom_site_type_symbol
_atom_site_fract_x
_atom_site_fract_y
_atom_site_fract_z
Ba1 Ba 0.000 0.000 0.000
Li1 Li 0.000 0.500 0.250
Cu1 Cu 0.000 0.000 0.500